# LiPdI

A relaxed structure of LiPdI (PBE, Alexandria via LeMat-Bulk).

Fermi-level density of states: 0.8 states/eV/f.u.
Relative energy among the computed polymorphs: 357 meV/atom
E: -3.09 eV/atom
ΔE_f (raw): -0.60 eV/f.u.

```
LiPdI
1.0
4.031 0.000 0.000
0.000 4.031 0.000
0.000 0.000 4.861
I Pd Li
1 1 1
Cartesian
0.000 0.000 2.430
2.016 2.016 2.430
2.016 2.016 0.000
```